--- i ---
# PBE BeSiIr2, optimized geometry
data_BeSiIr2
_chemical_formula_sum 'Be2 Si2 Ir4'
_cell_length_a 3.714
_cell_length_b 3.714
_cell_length_c 8.811
_cell_angle_alpha 90.00
_cell_angle_beta 90.00
_cell_angle_gamma 120.00
_symmetry_space_group_name_H-M 'P 1'
_symmetry_Int_Tables_number 1
loop_
_symmetry_equiv_pos_as_xyz
'x,y,z'
loop_
_atom_site_label
_atom_site_type_symbol
_atom_site_fract_x
_atom_site_fract_y
_atom_site_fract_z
Si1 Si 0.667 0.333 0.250
Be1 Be 0.000 0.000 0.250
Ir1 Ir 0.667 0.333 0.899
Si2 Si 0.333 0.667 0.750
Ir2 Ir 0.333 0.667 0.399
Ir3 Ir 0.333 0.667 0.101
Ir4 Ir 0.667 0.333 0.601
Be2 Be 0.000 0.000 0.750
# - space-group type = P6_3/mmc (194)
# - size of the total moment (μB per atom) = 0.000

--- ii ---
# PBE BeSiIr2, optimized geometry
data_BeSiIr2
_chemical_formula_sum 'Be6 Si6 Ir12'
_cell_length_a 4.091
_cell_length_b 5.783
_cell_length_c 12.271
_cell_angle_alpha 90.00
_cell_angle_beta 90.00
_cell_angle_gamma 90.00
_symmetry_space_group_name_H-M 'P 1'
_symmetry_Int_Tables_number 1
loop_
_symmetry_equiv_pos_as_xyz
'x,y,z'
loop_
_atom_site_label
_atom_site_type_symbol
_atom_site_fract_x
_atom_site_fract_y
_atom_site_fract_z
Ir1 Ir 0.500 0.250 0.000
Ir2 Ir 0.500 0.250 0.333
Ir3 Ir 0.000 0.750 0.500
Be1 Be 0.999 0.500 0.333
Be2 Be 0.501 0.000 0.833
Si1 Si 0.500 0.500 0.500
Ir4 Ir 0.500 0.250 0.667
Be3 Be 0.499 0.000 0.167
Be4 Be 0.001 0.500 0.667
Si2 Si 0.000 0.000 0.333
Be5 Be 0.000 0.500 0.000
Si3 Si 0.500 0.500 0.833
Ir5 Ir 0.000 0.250 0.167
Si4 Si 0.500 0.500 0.167
Ir6 Ir 0.500 0.750 0.333
Be6 Be 0.500 0.000 0.500
Si5 Si 0.000 0.000 0.000
Ir7 Ir 0.000 0.250 0.500
Si6 Si 0.000 0.000 0.667
Ir8 Ir 0.500 0.750 0.667
Ir9 Ir 0.000 0.750 0.167
Ir10 Ir 0.000 0.750 0.833
Ir11 Ir 0.000 0.250 0.833
Ir12 Ir 0.500 0.750 0.000
# - space-group type = Fm-3m (225)
# - size of the total moment (μB per atom) = 0.000

--- iii ---
# PBE BeSiIr2, optimized geometry
data_BeSiIr2
_chemical_formula_sum 'Be2 Si2 Ir4'
_cell_length_a 3.672
_cell_length_b 3.672
_cell_length_c 9.182
_cell_angle_alpha 90.00
_cell_angle_beta 90.00
_cell_angle_gamma 120.00
_symmetry_space_group_name_H-M 'P 1'
_symmetry_Int_Tables_number 1
loop_
_symmetry_equiv_pos_as_xyz
'x,y,z'
loop_
_atom_site_label
_atom_site_type_symbol
_atom_site_fract_x
_atom_site_fract_y
_atom_site_fract_z
Be1 Be 0.000 0.000 0.500
Ir1 Ir 0.333 0.667 0.606
Si1 Si 0.667 0.333 0.750
Si2 Si 0.333 0.667 0.250
Ir2 Ir 0.667 0.333 0.106
Be2 Be 0.000 0.000 0.000
Ir3 Ir 0.333 0.667 0.894
Ir4 Ir 0.667 0.333 0.394
# - space-group type = P6_3/mmc (194)
# - size of the total moment (μB per atom) = 0.000

--- iv ---
# PBE BeSiIr2, optimized geometry
data_BeSiIr2
_chemical_formula_sum 'Be1 Si1 Ir2'
_cell_length_a 4.071
_cell_length_b 4.071
_cell_length_c 2.935
_cell_angle_alpha 90.00
_cell_angle_beta 90.00
_cell_angle_gamma 90.00
_symmetry_space_group_name_H-M 'P 1'
_symmetry_Int_Tables_number 1
loop_
_symmetry_equiv_pos_as_xyz
'x,y,z'
loop_
_atom_site_label
_atom_site_type_symbol
_atom_site_fract_x
_atom_site_fract_y
_atom_site_fract_z
Be1 Be 0.500 0.500 0.000
Ir1 Ir 0.500 0.000 0.500
Ir2 Ir 0.000 0.500 0.500
Si1 Si 0.000 0.000 0.000
# - space-group type = P4/mmm (123)
# - size of the total moment (μB per atom) = 0.000

Which structure is the most stable? The one labeled ii.

--- i ---
# PBE BeSiIr2, optimized geometry
data_BeSiIr2
_chemical_formula_sum 'Be1 Si1 Ir2'
_cell_length_a 4.219
_cell_length_b 4.219
_cell_length_c 4.219
_cell_angle_alpha 60.00
_cell_angle_beta 60.00
_cell_angle_gamma 60.00
_symmetry_space_group_name_H-M 'P 1'
_symmetry_Int_Tables_number 1
loop_
_symmetry_equiv_pos_as_xyz
'x,y,z'
loop_
_atom_site_label
_atom_site_type_symbol
_atom_site_fract_x
_atom_site_fract_y
_atom_site_fract_z
Ir1 Ir 0.000 0.000 0.000
Si1 Si 0.500 0.500 0.500
Ir2 Ir 0.750 0.750 0.750
Be1 Be 0.250 0.250 0.250
# - space-group type = F-43m (216)
# - size of the total moment (μB per atom) = 0.006

--- ii ---
# PBE BeSiIr2, optimized geometry
data_BeSiIr2
_chemical_formula_sum 'Be4 Si4 Ir8'
_cell_length_a 5.717
_cell_length_b 7.296
_cell_length_c 4.928
_cell_angle_alpha 90.00
_cell_angle_beta 90.00
_cell_angle_gamma 90.00
_symmetry_space_group_name_H-M 'P 1'
_symmetry_Int_Tables_number 1
loop_
_symmetry_equiv_pos_as_xyz
'x,y,z'
loop_
_atom_site_label
_atom_site_type_symbol
_atom_site_fract_x
_atom_site_fract_y
_atom_site_fract_z
Si1 Si 0.091 0.250 0.599
Ir1 Ir 0.376 0.484 0.747
Ir2 Ir 0.876 0.516 0.753
Be1 Be 0.644 0.250 0.580
Ir3 Ir 0.376 0.016 0.747
Ir4 Ir 0.876 0.984 0.753
Si2 Si 0.409 0.250 0.099
Ir5 Ir 0.124 0.016 0.247
Be2 Be 0.144 0.750 0.920
Si3 Si 0.909 0.750 0.401
Ir6 Ir 0.124 0.484 0.247
Ir7 Ir 0.624 0.984 0.253
Be3 Be 0.856 0.250 0.080
Be4 Be 0.356 0.750 0.420
Ir8 Ir 0.624 0.516 0.253
Si4 Si 0.591 0.750 0.901
# - space-group type = Pnma (62)
# - size of the total moment (μB per atom) = 0.000

Which structure is the most stable? The one labeled ii.

--- i ---
# PBE SrBeIr, optimized geometry
data_SrBeIr
_chemical_formula_sum 'Sr1 Be1 Ir1'
_cell_length_a 4.551
_cell_length_b 4.551
_cell_length_c 4.551
_cell_angle_alpha 60.00
_cell_angle_beta 60.00
_cell_angle_gamma 60.00
_symmetry_space_group_name_H-M 'P 1'
_symmetry_Int_Tables_number 1
loop_
_symmetry_equiv_pos_as_xyz
'x,y,z'
loop_
_atom_site_label
_atom_site_type_symbol
_atom_site_fract_x
_atom_site_fract_y
_atom_site_fract_z
Be1 Be 0.250 0.250 0.250
Ir1 Ir 0.000 0.000 0.000
Sr1 Sr 0.750 0.750 0.750
# - space-group type = F-43m (216)
# - size of the total moment (μB per atom) = 0.000

--- ii ---
# PBE SrBeIr, optimized geometry
data_SrBeIr
_chemical_formula_sum 'Sr1 Be1 Ir1'
_cell_length_a 4.396
_cell_length_b 4.396
_cell_length_c 4.396
_cell_angle_alpha 60.00
_cell_angle_beta 60.00
_cell_angle_gamma 60.00
_symmetry_space_group_name_H-M 'P 1'
_symmetry_Int_Tables_number 1
loop_
_symmetry_equiv_pos_as_xyz
'x,y,z'
loop_
_atom_site_label
_atom_site_type_symbol
_atom_site_fract_x
_atom_site_fract_y
_atom_site_fract_z
Be1 Be 0.000 0.000 0.000
Ir1 Ir 0.250 0.250 0.250
Sr1 Sr 0.750 0.750 0.750
# - space-group type = F-43m (216)
# - size of the total moment (μB per atom) = 0.001

Which structure is the most stable? The one labeled ii.

--- i ---
# PBE TmBeIr, optimized geometry
data_TmBeIr
_chemical_formula_sum 'Tm1 Be1 Ir1'
_cell_length_a 4.436
_cell_length_b 4.436
_cell_length_c 4.436
_cell_angle_alpha 60.00
_cell_angle_beta 60.00
_cell_angle_gamma 60.00
_symmetry_space_group_name_H-M 'P 1'
_symmetry_Int_Tables_number 1
loop_
_symmetry_equiv_pos_as_xyz
'x,y,z'
loop_
_atom_site_label
_atom_site_type_symbol
_atom_site_fract_x
_atom_site_fract_y
_atom_site_fract_z
Be1 Be 0.250 0.250 0.250
Tm1 Tm 0.000 0.000 0.000
Ir1 Ir 0.750 0.750 0.750
# - space-group type = F-43m (216)
# - size of the total moment (μB per atom) = 0.000

--- ii ---
# PBE TmBeIr, optimized geometry
data_TmBeIr
_chemical_formula_sum 'Tm1 Be1 Ir1'
_cell_length_a 4.170
_cell_length_b 4.170
_cell_length_c 4.170
_cell_angle_alpha 60.00
_cell_angle_beta 60.00
_cell_angle_gamma 60.00
_symmetry_space_group_name_H-M 'P 1'
_symmetry_Int_Tables_number 1
loop_
_symmetry_equiv_pos_as_xyz
'x,y,z'
loop_
_atom_site_label
_atom_site_type_symbol
_atom_site_fract_x
_atom_site_fract_y
_atom_site_fract_z
Be1 Be 0.000 0.000 0.000
Ir1 Ir 0.250 0.250 0.250
Tm1 Tm 0.750 0.750 0.750
# - space-group type = F-43m (216)
# - size of the total moment (μB per atom) = 0.001

Which structure is the most stable? The one labeled ii.

--- i ---
# PBE YZrBeIr, optimized geometry
data_YZrBeIr
_chemical_formula_sum 'Y1 Zr1 Be1 Ir1'
_cell_length_a 4.614
_cell_length_b 4.614
_cell_length_c 4.614
_cell_angle_alpha 60.00
_cell_angle_beta 60.00
_cell_angle_gamma 60.00
_symmetry_space_group_name_H-M 'P 1'
_symmetry_Int_Tables_number 1
loop_
_symmetry_equiv_pos_as_xyz
'x,y,z'
loop_
_atom_site_label
_atom_site_type_symbol
_atom_site_fract_x
_atom_site_fract_y
_atom_site_fract_z
Ir1 Ir 0.000 0.000 0.000
Y1 Y 0.500 0.500 0.500
Be1 Be 0.750 0.750 0.750
Zr1 Zr 0.250 0.250 0.250
# - space-group type = F-43m (216)
# - size of the total moment (μB per atom) = 0.000

--- ii ---
# PBE YZrBeIr, optimized geometry
data_YZrBeIr
_chemical_formula_sum 'Y1 Zr1 Be1 Ir1'
_cell_length_a 4.734
_cell_length_b 4.734
_cell_length_c 4.734
_cell_angle_alpha 60.00
_cell_angle_beta 60.00
_cell_angle_gamma 60.00
_symmetry_space_group_name_H-M 'P 1'
_symmetry_Int_Tables_number 1
loop_
_symmetry_equiv_pos_as_xyz
'x,y,z'
loop_
_atom_site_label
_atom_site_type_symbol
_atom_site_fract_x
_atom_site_fract_y
_atom_site_fract_z
Y1 Y 0.500 0.500 0.500
Zr1 Zr 0.000 0.000 0.000
Ir1 Ir 0.250 0.250 0.250
Be1 Be 0.750 0.750 0.750
# - space-group type = F-43m (216)
# - size of the total moment (μB per atom) = 0.000

Which structure is the most stable? The one labeled ii.

--- i ---
# PBE KBeNb, optimized geometry
data_KBeNb
_chemical_formula_sum 'K1 Be1 Nb1'
_cell_length_a 4.811
_cell_length_b 4.811
_cell_length_c 4.811
_cell_angle_alpha 60.00
_cell_angle_beta 60.00
_cell_angle_gamma 60.00
_symmetry_space_group_name_H-M 'P 1'
_symmetry_Int_Tables_number 1
loop_
_symmetry_equiv_pos_as_xyz
'x,y,z'
loop_
_atom_site_label
_atom_site_type_symbol
_atom_site_fract_x
_atom_site_fract_y
_atom_site_fract_z
K1 K 0.250 0.250 0.250
Be1 Be 0.000 0.000 0.000
Nb1 Nb 0.750 0.750 0.750
# - space-group type = F-43m (216)
# - size of the total moment (μB per atom) = 1.281

--- ii ---
# PBE KBeNb, optimized geometry
data_KBeNb
_chemical_formula_sum 'K1 Be1 Nb1'
_cell_length_a 5.040
_cell_length_b 5.040
_cell_length_c 5.040
_cell_angle_alpha 60.00
_cell_angle_beta 60.00
_cell_angle_gamma 60.00
_symmetry_space_group_name_H-M 'P 1'
_symmetry_Int_Tables_number 1
loop_
_symmetry_equiv_pos_as_xyz
'x,y,z'
loop_
_atom_site_label
_atom_site_type_symbol
_atom_site_fract_x
_atom_site_fract_y
_atom_site_fract_z
Be1 Be 0.250 0.250 0.250
K1 K 0.000 0.000 0.000
Nb1 Nb 0.750 0.750 0.750
# - space-group type = F-43m (216)
# - size of the total moment (μB per atom) = 1.405

Which structure is the most stable? The one labeled i.